## SrPmCuN2 (PBE-GGA)

Data for an optimized crystal structure of SrPmCuN2.

The raw total energy is -6.068 eV per atom. The value obtained for the formation energy (no corrections) is -0.63 eV/atom.

Cell lengths 5.3254, 5.5001, 6.7857 Å; angles 90.01, 90.00, 90.00 degrees
Sites, in units of the cell vectors:
Sr (0.0004, 0.5000, 0.7500)
Sr (0.9996, 0.5000, 0.2500)
Pm (0.4999, 0.0000, 0.2500)
Pm (0.5001, 0.0000, 0.7500)
Cu (0.0000, 0.0000, 0.0000)
Cu (0.0000, 0.0000, 0.5000)
N (0.7342, 0.7801, 0.0000)
N (0.7342, 0.2199, 0.5000)
N (0.2658, 0.7801, 0.5000)
N (0.2658, 0.2199, 0.0000)

***

## Pr4Cu2N (PBE-GGA)

Data for an optimized crystal structure of Pr4Cu2N.

As for the offset from the most stable computed form: 69 meV/atom. The raw total energy is -5.455 eV per atom. The density of states at the Fermi level is 1.011 states/eV per atom. The value obtained for the formation energy (no corrections) is -0.36 eV/atom.

Cell lengths 5.0392, 5.0392, 7.8786 Å; angles 108.65, 108.65, 90.00 degrees
Sites, in units of the cell vectors:
Pr (0.8179, 0.8179, 0.6358)
Pr (0.1821, 0.1821, 0.3642)
Pr (0.0000, 0.5000, 0.0000)
Pr (0.5000, 0.0000, 0.0000)
Cu (0.6166, 0.6166, 0.2331)
Cu (0.3834, 0.3834, 0.7669)
N (0.0000, 0.0000, 0.0000)

***

Number 1: magnetic moment 0.0 μB/cell. Number 2: magnetic moment 0.0 μB/cell.